An optimized crystal structure of MnCuGe2O6. Source: Alexandria via LeMat-Bulk, functional GGA+U.

```
MnCuGe2O6
1.0
-1.0652 1.2988 -5.2808
3.8950 -4.4145 -3.7174
-5.2851 -4.1588 -1.8028
O Cu Ge Mn
12 2 4 2
Cartesian
-0.4768 -5.4529 -3.6817 O
0.2556 -0.5893 -2.6833 O
-1.8577 -4.7799 -6.1452 O
-1.9784 -1.8217 -7.1193 O
-1.8698 0.1045 -4.9915 O
-0.5855 -7.3791 -5.8095 O
-2.7109 -6.6853 -8.1176 O
-4.1230 -4.0688 -7.6759 O
1.0229 -4.8467 -5.9977 O
-3.4781 -2.4279 -4.8033 O
-0.5976 -2.4947 -4.6558 O
1.6677 -3.2058 -3.1251 O
0.8370 -3.3775 -7.2068 Cu
-3.2923 -3.8971 -3.5942 Cu
-2.0049 -1.6296 -5.3408 Ge
0.1473 -2.3241 -3.0382 Ge
-2.6025 -4.9505 -7.7628 Ge
-0.4504 -5.6450 -5.4602 Ge
-5.1621 -3.2104 -5.9557 Mn
2.7068 -4.0642 -4.8453 Mn
```

Summary:
Space-group type = C2/c (15)
Final energy = -0.4754 Ry/atom
Crystal system = monoclinic
Magnetization = 11.6 μB/cell